# 1
TiCl4: relaxed, PBE.

abc: 4.791 4.791 4.791
angles: 90.00 90.00 90.00
Space group Pm-3m (No. 221)
Unique sites:
Ti 0.000 0.000 0.000 x1
Cl 0.000 0.000 0.500 x3
Cl 0.500 0.500 0.500 x1

* magnetic moment: 0.7 μB per formula unit
* raw formation energy: -0.930 eV per atom
* calculated volume: 22.0 Å³/atom
* VASP energy: -3.987 eV per atom

# 2
Na2PbO3: relaxed, PBE.

abc: 3.340 4.599 10.430
angles: 90.00 90.00 90.00
Space group Immm (No. 71)
Unique sites:
Na 0.000 0.000 0.169 x4
Pb 0.000 0.000 0.500 x2
O 0.000 0.500 0.144 x4
O 0.000 0.500 0.500 x2

* magnetic moment: 0.0 μB per formula unit
* raw formation energy: -1.277 eV per atom
* calculated volume: 13.3 Å³/atom
* VASP energy: -4.814 eV per atom

# 3
AcCe3Pr2Te6: relaxed, PBE.

abc: 7.830 13.588 7.948
angles: 90.00 109.25 90.00
Space group C2/m (No. 12)
Unique sites:
Ac 0.000 0.000 0.000 x2
Ce 0.000 0.163 0.500 x4
Ce 0.000 0.500 0.500 x2
Pr 0.000 0.332 0.000 x4
Te 0.244 0.330 0.742 x8
Te 0.244 0.500 0.254 x4

* magnetic moment: 3.4 μB per formula unit
* raw formation energy: -1.412 eV per atom
* calculated volume: 33.3 Å³/atom
* VASP energy: -5.605 eV per atom

# 4
Cr2Pb: relaxed, PBE.

abc: 6.122 4.300 8.386
angles: 90.00 90.00 90.00
Space group Pnma (No. 62)
Unique sites:
Cr 0.057 0.250 0.228 x4
Cr 0.142 0.250 0.927 x4
Pb 0.168 0.250 0.593 x4

* magnetic moment: 0.1 μB per formula unit
* formation enthalpy at 0 K: 561 meV/atom
* calculated volume: 18.4 Å³/atom
* VASP energy: -7.090 eV per atom

# 5
Mg2AlCr: relaxed, PBE.

abc: 3.0295 3.0295 28.8434
angles: 90.00 90.00 120.00
Space group R-3m (No. 166, hexagonal axes)
Unique sites:
Mg 0.0000 0.0000 0.2488 x6
Al 0.0000 0.0000 0.0000 x3
Cr 0.0000 0.0000 0.5000 x3

* magnetic moment: 3.8 μB per formula unit
* formation enthalpy at 0 K: 319 meV/atom
* calculated volume: 19.1 Å³/atom
* VASP energy: -3.820 eV per atom

# 6
YHo2Au: relaxed, PBE.

abc: 3.570 3.570 8.725
angles: 90.00 90.00 90.00
Space group P4/mmm (No. 123)
Unique sites:
Y 0.000 0.000 0.000 x1
Ho 0.500 0.500 0.296 x2
Au 0.000 0.000 0.500 x1

* magnetic moment: 0.0 μB per formula unit
* formation enthalpy at 0 K: -403 meV/atom
* calculated volume: 27.8 Å³/atom
* VASP energy: -5.128 eV per atom

# 7
SnH2F6: relaxed, PBE.

abc: 11.000 9.365 4.928
angles: 90.00 101.43 90.00
Space group C2/c (No. 15)
Unique sites:
Sn 0.000 0.122 0.250 x4
H 0.142 0.486 0.787 x8
F 0.099 0.058 0.629 x8
F 0.118 0.247 0.135 x8
F 0.140 0.443 0.609 x8

* magnetic moment: 0.2 μB per formula unit
* calculated volume: 13.8 Å³/atom
* VASP energy: -4.414 eV per atom

# 8
TbPa2Co: relaxed, PBE.

abc: 3.5293 3.5293 26.9080
angles: 90.00 90.00 120.00
Space group R-3m (No. 166, hexagonal axes)
Unique sites:
Tb 0.0000 0.0000 0.0000 x3
Pa 0.0000 0.0000 0.2290 x6
Co 0.0000 0.0000 0.5000 x3

* magnetic moment: 0.0 μB per formula unit
* formation enthalpy at 0 K: 1 meV/atom
* calculated volume: 24.2 Å³/atom
* VASP energy: -7.681 eV per atom

# 9
Y2Ho4Er5: relaxed, PBE.

abc: 3.519 8.638 11.695
angles: 75.88 81.39 89.99
Space group P-1 (No. 2)
Unique sites:
Y 0.091 0.228 0.318 x2
Ho 0.182 0.955 0.136 x2
Ho 0.454 0.138 0.592 x2
Er 0.000 0.500 0.500 x1
Er 0.272 0.681 0.956 x2
Er 0.363 0.408 0.773 x2

* magnetic moment: 0.0 μB per formula unit
* formation enthalpy at 0 K: 23 meV/atom
* calculated volume: 31.0 Å³/atom
* VASP energy: -4.891 eV per atom

# 10
Tb7PrHo2: relaxed, PBE.

abc: 6.172 7.137 7.971
angles: 77.10 75.05 73.28
Space group P-1 (No. 2)
Unique sites:
Tb 0.000 0.000 0.000 x1
Tb 0.200 0.801 0.599 x2
Tb 0.400 0.600 0.202 x2
Tb 0.401 0.099 0.201 x2
Pr 0.000 0.500 0.000 x1
Ho 0.200 0.300 0.599 x2

* magnetic moment: 0.0 μB per formula unit
* formation enthalpy at 0 K: 14 meV/atom
* calculated volume: 32.1 Å³/atom
* VASP energy: -4.621 eV per atom

# 11
ScTaAs2: relaxed, PBE.

abc: 3.490 3.527 12.512
angles: 90.00 90.00 90.00
Space group Imm2 (No. 44)
Unique sites:
Sc 0.000 0.000 0.000 x2
Ta 0.000 0.500 0.755 x2
As 0.000 0.000 0.409 x2
As 0.000 0.500 0.170 x2

* magnetic moment: 0.3 μB per formula unit
* formation enthalpy at 0 K: -719 meV/atom
* calculated volume: 19.3 Å³/atom
* VASP energy: -7.590 eV per atom

# 12
K2Hg2Pd: relaxed, PBE.

abc: 12.240 4.829 12.297
angles: 90.00 115.93 90.00
Space group C2/m (No. 12)
Unique sites:
K 0.004 0.000 0.156 x4
K 0.202 0.000 0.622 x4
Hg 0.005 0.500 0.379 x4
Hg 0.190 0.500 0.059 x4
Pd 0.205 0.500 0.835 x4

* magnetic moment: 0.0 μB per formula unit
* formation enthalpy at 0 K: -223 meV/atom
* calculated volume: 32.7 Å³/atom
* VASP energy: -1.821 eV per atom